# 1
# LiPdAuSe3

An optimized crystal structure of LiPdAuSe3 (PBE-GGA, OQMD via LeMat-Bulk).

Unit cell a=3.618 b=13.615 c=10.197 alpha=90.00 beta=90.00 gamma=90.00
Space group Cmcm (No. 63)
Unique sites:
Li 0.000 0.199 0.250
Pd 0.000 0.500 0.000
Au 0.000 0.149 0.750
Se 0.000 0.130 0.511
Se 0.000 0.445 0.750

Calculated values
DFT total energy   -91.58 eV for the cell shown

***

# 2
# LiTe2PdAuSe

An optimized crystal structure of LiTe2PdAuSe (PBE-GGA, OQMD via LeMat-Bulk).

Unit cell a=4.077 b=12.637 c=10.746 alpha=90.00 beta=90.00 gamma=90.00
Space group Cmcm (No. 63)
Unique sites:
Li 0.000 0.202 0.250
Te 0.000 0.139 0.507
Pd 0.000 0.500 0.000
Au 0.000 0.142 0.750
Se 0.000 0.440 0.750

Calculated values
DFT total energy   -88.07 eV for the cell shown

***

# 3
# LiSnPdAu

An optimized crystal structure of LiSnPdAu (PBE-GGA, OQMD via LeMat-Bulk).

Unit cell a=6.490 b=6.490 c=6.490 alpha=90.00 beta=90.00 gamma=90.00
Space group F-43m (No. 216)
Unique sites:
Li 0.000 0.000 0.000
Sn 0.000 0.000 0.500
Pd 0.250 0.250 0.250
Au 0.250 0.250 0.750

Calculated values
E above lowest polymorph   0 meV/atom

***

# 4
# Li4Sn2PdAu

An optimized crystal structure of Li4Sn2PdAu (PBE-GGA, OQMD via LeMat-Bulk).

Unit cell a=4.540 b=4.540 c=6.424 alpha=90.00 beta=90.00 gamma=90.00
Space group P-4m2 (No. 115)
Unique sites:
Li 0.000 0.000 0.000
Li 0.000 0.500 0.249
Li 0.500 0.500 0.500
Sn 0.000 0.500 0.761
Pd 0.500 0.500 0.000
Au 0.000 0.000 0.500

Calculated values
DFT total energy   -28.57 eV for the cell shown

***

# 5
# Li2Sn2PdAu

An optimized crystal structure of Li2Sn2PdAu (PBE-GGA, OQMD via LeMat-Bulk).

Unit cell a=4.7021 b=4.7021 c=5.8830 alpha=90.00 beta=90.00 gamma=120.00
Space group P-6m2 (No. 187)
Unique sites:
Li 0.0000 0.0000 0.2476
Sn 0.3333 0.6667 0.0000
Sn 0.6667 0.3333 0.5000
Pd 0.6667 0.3333 0.0000
Au 0.3333 0.6667 0.5000

Calculated values
DFT total energy   -23.29 eV for the cell shown

***

# 6
# LiTePdAu

An optimized crystal structure of LiTePdAu (PBE-GGA, OQMD via LeMat-Bulk).

Unit cell a=6.628 b=6.628 c=6.628 alpha=90.00 beta=90.00 gamma=90.00
Space group F-43m (No. 216)
Unique sites:
Li 0.000 0.000 0.000
Te 0.250 0.250 0.750
Pd 0.000 0.000 0.500
Au 0.250 0.250 0.250

Calculated values
E above lowest polymorph   0 meV/atom